Entry i
DFT (PBE) results for a relaxed Tb8Hg2Pd crystal. Values from VASP.

Output
Magnetic moment: 0.0 μB per formula unit
Crystal system: orthorhombic

Structure (Quantum ESPRESSO input):
```
&SYSTEM
  ibrav = 0, nat = 11, ntyp = 3
/
ATOMIC_SPECIES
Tb 158.93 Tb.upf
Pd 106.42 Pd.upf
Hg 200.59 Hg.upf
CELL_PARAMETERS angstrom
-4.966 -0.675 -0.339
1.236 -8.374 -1.440
1.557 3.274 7.895
ATOMIC_POSITIONS crystal
Tb 0.659 0.879 0.317
Tb 0.659 0.438 0.317
Pd 0.500 0.000 0.000
Tb 0.877 0.877 0.754
Tb 0.341 0.562 0.683
Hg 0.797 0.297 0.594
Hg 0.203 0.703 0.406
Tb 0.123 0.123 0.246
Tb 0.000 0.326 0.000
Tb 0.000 0.674 0.000
Tb 0.341 0.121 0.683
```

=====

Entry ii
DFT (PBE) results for a relaxed Tb8Hg2Pd crystal. Values from VASP.

Output
Magnetic moment: 0.0 μB per formula unit
Crystal system: monoclinic

Structure (Quantum ESPRESSO input):
```
&SYSTEM
  ibrav = 0, nat = 11, ntyp = 3
/
ATOMIC_SPECIES
Tb 158.93 Tb.upf
Hg 200.59 Hg.upf
Pd 106.42 Pd.upf
CELL_PARAMETERS angstrom
5.174 0.000 0.000
0.000 6.843 0.449
-2.587 -2.388 8.641
ATOMIC_POSITIONS crystal
Tb 0.345 0.031 0.690
Tb 0.202 0.317 0.405
Tb 0.589 0.449 0.179
Hg 0.191 0.742 0.382
Tb 0.977 0.229 0.954
Hg 0.809 0.258 0.618
Pd 0.500 0.000 0.000
Tb 0.655 0.969 0.310
Tb 0.023 0.771 0.046
Tb 0.798 0.683 0.595
Tb 0.411 0.551 0.821
```

=====

Which one sits at the top of the stability order? entry ii does.

=====

Entry i
DFT (PBE) results for a relaxed Tb6HgPd5 crystal. Values from VASP.

Output
Magnetic moment: 0.0 μB per formula unit
Crystal system: monoclinic

Structure (Quantum ESPRESSO input):
```
&SYSTEM
  ibrav = 0, nat = 12, ntyp = 3
/
ATOMIC_SPECIES
Pd 106.42 Pd.upf
Tb 158.93 Tb.upf
Hg 200.59 Hg.upf
CELL_PARAMETERS angstrom
-4.511 1.875 1.230
-0.575 -4.819 5.238
5.572 3.850 4.153
ATOMIC_POSITIONS crystal
Pd 0.664 0.500 0.331
Pd 0.336 0.500 0.669
Pd 0.000 0.500 0.000
Tb 0.170 0.747 0.341
Pd 0.337 0.000 0.672
Tb 0.500 0.741 0.000
Hg 0.000 0.000 0.000
Tb 0.170 0.253 0.341
Tb 0.830 0.253 0.659
Tb 0.500 0.259 0.000
Tb 0.830 0.747 0.659
Pd 0.663 0.000 0.328
```

=====

Entry ii
DFT (PBE) results for a relaxed Tb6HgPd5 crystal. Values from VASP.

Output
Magnetic moment: 0.0 μB per formula unit
Crystal system: monoclinic

Structure (Quantum ESPRESSO input):
```
&SYSTEM
  ibrav = 0, nat = 12, ntyp = 3
/
ATOMIC_SPECIES
Tb 158.93 Tb.upf
Pd 106.42 Pd.upf
Hg 200.59 Hg.upf
CELL_PARAMETERS angstrom
7.247 -0.020 0.000
2.019 7.058 0.000
1.009 3.529 5.816
ATOMIC_POSITIONS crystal
Tb 0.221 0.297 0.000
Pd 0.000 0.690 0.620
Tb 0.279 0.900 0.643
Tb 0.779 0.703 0.000
Tb 0.279 0.543 0.357
Tb 0.721 0.457 0.643
Tb 0.721 0.100 0.357
Pd 0.500 0.131 0.738
Pd 0.500 0.869 0.262
Hg 0.000 0.000 0.000
Pd 0.000 0.310 0.380
Pd 0.500 0.500 0.000
```

=====

Which one sits at the top of the stability order? entry i does.

=====

Entry i
DFT (PBE) results for a relaxed Tc2Hg2Pd crystal. Values from VASP.

Output
Magnetic moment: 0.0 μB per formula unit
Crystal system: tetragonal

Structure (Quantum ESPRESSO input):
```
&SYSTEM
  ibrav = 0, nat = 5, ntyp = 3
/
ATOMIC_SPECIES
Tc 98.00 Tc.upf
Hg 200.59 Hg.upf
Pd 106.42 Pd.upf
CELL_PARAMETERS angstrom
3.494 0.000 0.000
0.000 3.494 0.000
1.747 1.747 7.733
ATOMIC_POSITIONS crystal
Tc 0.250 0.750 0.500
Hg 0.597 0.597 0.807
Pd 0.000 0.000 0.000
Tc 0.750 0.250 0.500
Hg 0.403 0.403 0.193
```

=====

Entry ii
DFT (PBE) results for a relaxed Tc2Hg2Pd crystal. Values from VASP.

Output
Magnetic moment: 0.0 μB per formula unit
Crystal system: tetragonal

Structure (Quantum ESPRESSO input):
```
&SYSTEM
  ibrav = 0, nat = 10, ntyp = 3
/
ATOMIC_SPECIES
Hg 200.59 Hg.upf
Tc 98.00 Tc.upf
Pd 106.42 Pd.upf
CELL_PARAMETERS angstrom
-0.729 -2.498 -7.530
-4.300 -6.231 2.483
-2.526 1.626 -0.295
ATOMIC_POSITIONS crystal
Hg 0.806 0.694 0.000
Tc 0.402 0.098 0.500
Hg 0.694 0.194 0.000
Tc 0.098 0.598 0.500
Hg 0.194 0.306 0.000
Pd 0.000 0.000 0.000
Hg 0.306 0.806 0.000
Tc 0.598 0.902 0.500
Tc 0.902 0.402 0.500
Pd 0.500 0.500 0.000
```

=====

Which one sits at the top of the stability order? entry i does.